The following is a PBE-GGA calculation of an optimized crystal structure of Zn2Ni8Pt, from the Alexandria database.

Results
The value obtained for the formation energy is 77 meV per atom. As for the symmetry: C2/m (12).

Cell: 7.0908 7.0908 4.3277 Å, 107.73 107.73 124.78°
Last column: nearest neighbours and their distance in Å.
Element x y z (fractional)
Zn: 0.1862 0.8138 0.0000  12 Ni 2.49-2.65
Zn: 0.8138 0.1862 0.0000  12 Ni 2.49-2.65
Ni: 0.0081 0.0081 0.7641  4 Ni 2.11-2.36
Ni: 0.1363 0.3960 0.7607  4 Ni 2.32-2.48, 1 Zn 2.59
Ni: 0.2974 0.7026 0.5000  6 Ni 2.48-2.64, 4 Zn 2.49-2.58, 1 Pt 2.55
Ni: 0.3960 0.1363 0.7607  4 Ni 2.32-2.48, 1 Zn 2.59
Ni: 0.6040 0.8637 0.2393  4 Ni 2.32-2.48, 1 Zn 2.59
Ni: 0.7026 0.2974 0.5000  6 Ni 2.48-2.64, 4 Zn 2.49-2.58, 1 Pt 2.55
Ni: 0.8637 0.6040 0.2393  4 Ni 2.32-2.48, 1 Zn 2.59
Ni: 0.9919 0.9919 0.2359  4 Ni 2.11-2.36
Pt: 0.5000 0.5000 0.5000  6 Ni 2.55-2.73